NaHg2: relaxed, PBE-GGA.

Unit cell a=5.1658 b=5.1658 c=3.3088 alpha=90.00 beta=90.00 gamma=120.00
Space group P6/mmm (No. 191)
Asymmetric unit:
Na1 0.0000 0.0000 0.0000
Hg1 0.3333 0.6667 0.5000

Output
E	-0.875	eV/atom
Fermi-level density of states	0.241	states/eV/atom

***

Na7Hg: relaxed, PBE-GGA.

Unit cell a=5.6952 b=5.6952 c=27.9469 alpha=90.00 beta=90.00 gamma=120.00
Space group R-3m (No. 166, hexagonal axes)
Asymmetric unit:
Na1 0.0000 0.0000 0.0000
Na2 0.0000 0.0000 0.1314
Na3 0.0000 0.0000 0.2505
Na4 0.0000 0.0000 0.3823
Hg1 0.0000 0.0000 0.5000

Output
E	-1.245	eV/atom
Fermi-level density of states	0.567	states/eV/atom

***

Na3Hg7: relaxed, PBE-GGA.

Unit cell a=10.6221 b=10.6221 c=5.6130 alpha=90.00 beta=90.00 gamma=120.00
Space group P6_3mc (No. 186)
Asymmetric unit:
Na1 0.2006 0.4013 0.0000
Hg1 0.0662 0.5331 0.6227
Hg2 0.1050 0.2100 0.5120
Hg3 0.3333 0.6667 0.3245

Output
E	-0.775	eV/atom
excess energy over the best structure of this formula in the dataset	30.4	meV/atom
Fermi-level density of states	0.282	states/eV/atom